Record 1
The following is a DFT calculation (PBE-GGA) of a relaxed structure of YHo2UP4.

abc: 6.8809 3.9642 6.8838
angles: 90.00 109.25 90.00
With the nearest neighbours (Å) after each atom.
Space group P2/m (No. 10)
Unique sites:
Y 0.0000 0.0000 0.0000  6 P 2.81-2.82
Ho 0.5000 0.0000 0.5000  6 P 2.80
Ho 0.5000 0.5000 0.0000  6 P 2.83-2.85
U 0.0000 0.5000 0.5000  6 P 2.76-2.79
P 0.2468 0.0000 0.7455  2 U 2.79, 3 Ho 2.80-2.83, 1 Y 2.81
P 0.2474 0.5000 0.2552  1 U 2.76, 3 Ho 2.80-2.85, 2 Y 2.82

* DOS at the Fermi energy: 0.85 states/eV per atom
* ΔH_f (0 K): -1.455 eV per atom

Record 2
The following is a DFT calculation (PBE-GGA) of a relaxed structure of HgBCl2.

abc: 6.9773 6.9773 6.9773
angles: 90.00 90.00 90.00
With the nearest neighbours (Å) after each atom.
Space group Fm-3m (No. 225)
Unique sites:
Hg 0.0000 0.0000 0.0000  8 Cl 3.02
B 0.0000 0.0000 0.5000  8 Cl 3.02
Cl 0.2500 0.2500 0.2500  4 Hg 3.02, 4 B 3.02

* raw formation energy: 342 kJ/mol of formula units
* excess energy over the best structure of this formula in the dataset: 0.766 eV/atom
* DOS at the Fermi energy: 0.97 states/eV per atom

Record 3
The following is a DFT calculation (PBE-GGA) of a relaxed structure of RbAl2Au2.

abc: 4.5071 4.5071 12.9974
angles: 90.00 90.00 90.00
With the nearest neighbours (Å) after each atom.
Space group I4/mmm (No. 139)
Unique sites:
Rb 0.0000 0.0000 0.0000  8 Au 3.76, 8 Al 3.95
Al 0.0000 0.5000 0.2500  4 Au 2.58
Au 0.0000 0.0000 0.3460  4 Al 2.58

* excess energy over the best structure of this formula in the dataset: 0.000 eV/atom
* DOS at the Fermi energy: 0.54 states/eV per atom
* ΔH_f (0 K): -0.286 eV per atom

Record 4
The following is a DFT calculation (PBE-GGA) of a relaxed structure of LiZnCo.

abc: 4.1566 4.1566 2.4614
angles: 90.00 90.00 120.00
With the nearest neighbours (Å) after each atom.
Space group P3m1 (No. 156)
Unique sites:
Li 0.0000 0.0000 0.0000  2 Li 2.46, 3 Co 2.49, 3 Zn 2.54
Zn 0.3333 0.6667 0.3383  2 Zn 2.46, 3 Li 2.54, 3 Co 2.58
Co 0.6667 0.3333 0.7246  2 Co 2.46, 3 Li 2.49, 3 Zn 2.58

* excess energy over the best structure of this formula in the dataset: 0.090 eV/atom
* DOS at the Fermi energy: 1.16 states/eV per atom
* ΔH_f (0 K): 0.041 eV per atom

Record 5
The following is a DFT calculation (PBE-GGA) of a relaxed structure of TmTlHgPb.

abc: 7.6237 7.6237 7.6237
angles: 90.00 90.00 90.00
With the nearest neighbours (Å) after each atom.
Space group F-43m (No. 216)
Unique sites:
Tm 0.0000 0.0000 0.0000  4 Tl 3.30, 4 Hg 3.30
Tl 0.2500 0.2500 0.7500  4 Pb 3.30, 4 Tm 3.30
Hg 0.2500 0.2500 0.2500  4 Tm 3.30, 4 Pb 3.30
Pb 0.0000 0.0000 0.5000  4 Hg 3.30, 4 Tl 3.30

* excess energy over the best structure of this formula in the dataset: 0.118 eV/atom
* DOS at the Fermi energy: 0.46 states/eV per atom
* ΔH_f (0 K): -0.130 eV per atom

Record 6
The following is a DFT calculation (PBE-GGA) of a relaxed structure of Tm3CdPb2.

abc: 16.3263 6.3325 6.4511
angles: 90.00 102.84 90.00
With the nearest neighbours (Å) after each atom.
Space group C2/c (No. 15)
Unique sites:
Tm 0.0000 0.1358 0.2500  2 Cd 3.07-3.26, 4 Pb 3.14-3.30
Tm 0.1693 0.3920 0.5927  2 Cd 3.15-3.45, 4 Pb 3.16-3.43, 3 Tm 3.50-3.53
Cd 0.0000 0.3794 0.7500  4 Tm 3.07-3.26, 2 Pb 3.39
Pb 0.1604 0.1069 0.0594  6 Tm 3.14-3.43, 1 Cd 3.39, 2 Pb 3.50

* excess energy over the best structure of this formula in the dataset: 0.070 eV/atom
* DOS at the Fermi energy: 0.67 states/eV per atom
* ΔH_f (0 K): -0.321 eV per atom

Record 7
The following is a DFT calculation (PBE-GGA) of a relaxed structure of Tb3UAg3Te8.

abc: 14.8258 8.8292 8.6581
angles: 90.00 123.84 90.00
With the nearest neighbours (Å) after each atom.
Space group C2/m (No. 12)
Unique sites:
Tb 0.0000 0.0000 0.0000  6 Te 3.10-3.12
Tb 0.2500 0.2500 0.5000  6 Te 3.09-3.12
U 0.0000 0.5000 0.0000  6 Te 3.09
Ag 0.0000 0.5000 0.5000  6 Te 3.04-3.09
Ag 0.2500 0.2500 0.0000  6 Te 3.07-3.09
Te 0.0012 0.2503 0.7508  2 Ag 3.07-3.09, 1 U 3.09, 2 Tb 3.09-3.10
Te 0.2470 0.5000 0.7514  3 Ag 3.04-3.07, 3 Tb 3.12
Te 0.2492 0.0000 0.7498  2 Ag 3.09, 1 U 3.09, 2 Tb 3.09

* raw formation energy: -1136 kJ/mol of formula units
* DOS at the Fermi energy: 0.35 states/eV per atom

Record 8
The following is a DFT calculation (PBE-GGA) of a relaxed structure of Dy2Mn2Fe15.

abc: 8.2800 8.2800 12.3108
angles: 90.00 90.00 120.00
With the nearest neighbours (Å) after each atom.
Space group R-3m (No. 166, hexagonal axes)
Unique sites:
Dy 0.0000 0.0000 0.1546  18 Fe 2.91-3.25, 1 Mn 3.13
Mn 0.0000 0.0000 0.4088  1 Mn 2.24
Fe 0.0000 0.2999 0.5000  8 Fe 2.41-2.57
Fe 0.0000 0.5000 0.0000  8 Fe 2.37-2.41, 2 Mn 2.56
Fe 0.0051 0.5025 0.3403  8 Fe 2.37-2.57, 1 Mn 2.56

* DOS at the Fermi energy: 1.29 states/eV per atom
* ΔH_f (0 K): 0.008 eV per atom